Crystalline UCrPb2O6 at its relaxed geometry, computed with GGA+U.

Calculated values
As for the crystal system: monoclinic. As for the magnetic moment: 4.00 Bohr magnetons per cell. As for the calculated total energy: -7.66 eV/atom.

abc: 5.8061 5.8061 5.9202
angles: 119.95 119.95 60.55
Last column: nearest neighbours and their distance in Å.
Fractional positions:
U 0.0000 0.0000 0.0000  6 O 2.12-2.17
Cr 0.5000 0.5000 0.5000  6 O 2.04
Pb 0.2467 0.2467 0.7281  5 O 2.63-2.70
Pb 0.7533 0.7533 0.2719  5 O 2.63-2.70
O 0.2173 0.7038 0.7017  1 Cr 2.04, 1 U 2.17
O 0.2557 0.2557 0.1924  1 Cr 2.04, 1 U 2.12
O 0.2962 0.7827 0.2983  1 Cr 2.04, 1 U 2.17
O 0.7038 0.2173 0.7017  1 Cr 2.04, 1 U 2.17
O 0.7443 0.7443 0.8076  1 Cr 2.04, 1 U 2.12
O 0.7827 0.2962 0.2983  1 Cr 2.04, 1 U 2.17